1.
First-principles (PBE-GGA) data for NaTlI2O8 after structural relaxation, as listed in Alexandria via LeMat-Bulk.

Calculated values
Density: 4254 kg/m3
VASP energy: -103.5 eV for the cell shown
Formation energy without anion corrections: -440.7 meV per atom

Geometry as CIF:
```
data_NaTlI2O8
_cell_length_a 8.042
_cell_length_b 8.042
_cell_length_c 7.354
_cell_angle_alpha 90.00
_cell_angle_beta 90.00
_cell_angle_gamma 90.00
_space_group_name_H-M_alt 'I -4 m 2'
_space_group_IT_number 119
_space_group_name_Hall 'I -4 -2'
loop_
_atom_site_label
_atom_site_fract_x
_atom_site_fract_y
_atom_site_fract_z
Na1 0.000 0.000 0.000
Tl1 0.000 0.500 0.250
I1 0.000 0.000 0.500
I2 0.000 0.500 0.750
O1 0.000 0.178 0.350
O2 0.000 0.319 0.894
```



2.
First-principles (PBE-GGA) data for NaUIO6 after structural relaxation, as listed in Alexandria via LeMat-Bulk.

Calculated values
Density: 5635 kg/m3
VASP energy: -119.0 eV for the cell shown
Formation energy without anion corrections: -1731.3 meV per atom

Geometry as CIF:
```
data_NaUIO6
_cell_length_a 5.6926
_cell_length_b 5.6926
_cell_length_c 10.1628
_cell_angle_alpha 90.00
_cell_angle_beta 90.00
_cell_angle_gamma 120.00
_space_group_name_H-M_alt 'P -3 1 c'
_space_group_IT_number 163
_space_group_name_Hall '-P 3 2c'
loop_
_atom_site_label
_atom_site_fract_x
_atom_site_fract_y
_atom_site_fract_z
Na1 0.0000 0.0000 0.0000
U1 0.3333 0.6667 0.2500
I1 0.3333 0.6667 0.7500
O1 0.9995 0.3681 0.1433
```



3.
First-principles (PBE-GGA) data for Na2UI4O15 after structural relaxation, as listed in Alexandria via LeMat-Bulk.

Calculated values
Density: 4565 kg/m3
VASP energy: -231.8 eV for the cell shown
Formation energy without anion corrections: -971.9 meV per atom

Geometry as CIF:
```
data_Na2UI4O15
_cell_length_a 11.467
_cell_length_b 8.453
_cell_length_c 7.744
_cell_angle_alpha 90.00
_cell_angle_beta 91.07
_cell_angle_gamma 90.00
_space_group_name_H-M_alt 'C 1 2 1'
_space_group_IT_number 5
_space_group_name_Hall 'C 2y'
loop_
_atom_site_label
_atom_site_fract_x
_atom_site_fract_y
_atom_site_fract_z
Na1 0.000 0.000 0.000
Na2 0.000 0.470 0.000
U1 0.000 0.992 0.500
I1 0.222 0.723 0.769
I2 0.244 0.230 0.777
O1 0.000 0.247 0.500
O2 0.066 0.986 0.283
O3 0.128 0.213 0.936
O4 0.133 0.807 0.588
O5 0.140 0.798 0.954
O6 0.149 0.184 0.569
O7 0.161 0.526 0.772
O8 0.188 0.536 0.212
```



Q: The highest formation energy without anion corrections belongs to which entry?
A: NaTlI2O8



Q: Look up the formation energy without anion corrections of the second one.
A: -1731.3 meV per atom